1.
A plane-wave DFT calculation with GGA-PBE was carried out for a relaxed LaMg2Tl crystal.

Summary:
Excess energy over the best structure of this formula in the dataset in eV per formula unit: 0.38
SG: P2/m (10)
N(E_F) in states/eV per cell: 2.753

```
data_LaMg2Tl
_cell_length_a 3.454
_cell_length_b 5.125
_cell_length_c 6.375
_cell_angle_alpha 90.00
_cell_angle_beta 99.78
_cell_angle_gamma 90.00
_symmetry_space_group_name_H-M 'P 1'
_symmetry_Int_Tables_number 1
_symmetry_space_group_name_Hall 'P 1'
loop_
_atom_site_label
_atom_site_fract_x
_atom_site_fract_y
_atom_site_fract_z
La1 0.000 0.000 0.000
Mg1 0.376 0.500 0.735
Mg2 0.624 0.500 0.265
Tl1 0.500 0.000 0.500
```

=====

2.
A plane-wave DFT calculation with GGA-PBE was carried out for a relaxed Na4PH5Se3O16 crystal.

Summary:
SG: P1 (1)
E_tot in eV per atom: -5.308
N(E_F) in states/eV per cell: 0.000

```
data_Na4PH5Se3O16
_cell_length_a 7.193
_cell_length_b 7.219
_cell_length_c 7.252
_cell_angle_alpha 80.20
_cell_angle_beta 84.51
_cell_angle_gamma 80.19
_symmetry_space_group_name_H-M 'P 1'
_symmetry_Int_Tables_number 1
_symmetry_space_group_name_Hall 'P 1'
loop_
_atom_site_label
_atom_site_fract_x
_atom_site_fract_y
_atom_site_fract_z
Na1 0.000 0.000 0.000
Na2 0.062 0.586 0.343
Na3 0.381 0.645 0.813
Na4 0.676 0.947 0.462
P1 0.585 0.512 0.376
H1 0.037 0.281 0.666
H2 0.311 0.265 0.131
H3 0.416 0.728 0.172
H4 0.526 0.318 0.640
H5 0.754 0.327 0.192
Se1 0.155 0.049 0.466
Se2 0.509 0.064 0.958
Se3 0.920 0.539 0.871
O1 0.013 0.939 0.369
O2 0.031 0.128 0.664
O3 0.041 0.467 0.676
O4 0.058 0.659 0.964
O5 0.204 0.248 0.330
O6 0.346 0.901 0.534
O7 0.353 0.912 0.001
O8 0.377 0.285 0.998
O9 0.409 0.603 0.255
O10 0.487 0.456 0.577
O11 0.582 0.114 0.735
O12 0.668 0.314 0.316
O13 0.678 0.001 0.102
O14 0.716 0.676 0.819
O15 0.727 0.643 0.365
O16 0.888 0.337 0.015
```

=====

3.
A plane-wave DFT calculation with GGA-PBE was carried out for a relaxed Na2Ge3Pd5 crystal.

Summary:
Excess energy over the best structure of this formula in the dataset in eV per formula unit: 0.00
SG: Cmc2_1 (36)
N(E_F) in states/eV per cell: 7.462

```
data_Na2Ge3Pd5
_cell_length_a 12.673
_cell_length_b 12.673
_cell_length_c 6.612
_cell_angle_alpha 90.00
_cell_angle_beta 90.00
_cell_angle_gamma 161.19
_symmetry_space_group_name_H-M 'P 1'
_symmetry_Int_Tables_number 1
_symmetry_space_group_name_Hall 'P 1'
loop_
_atom_site_label
_atom_site_fract_x
_atom_site_fract_y
_atom_site_fract_z
Na1 0.018 0.982 0.500
Na2 0.325 0.675 0.504
Na3 0.675 0.325 0.004
Na4 0.982 0.018 0.000
Ge1 0.111 0.889 0.264
Ge2 0.274 0.726 0.004
Ge3 0.453 0.547 0.285
Ge4 0.547 0.453 0.785
Ge5 0.726 0.274 0.504
Ge6 0.889 0.111 0.764
Pd1 0.098 0.902 0.871
Pd2 0.206 0.794 0.719
Pd3 0.210 0.790 0.290
Pd4 0.376 0.624 0.030
Pd5 0.444 0.556 0.668
Pd6 0.556 0.444 0.168
Pd7 0.624 0.376 0.530
Pd8 0.790 0.210 0.790
Pd9 0.794 0.206 0.219
Pd10 0.902 0.098 0.371
```